# 1
{
  "formula": "Ag3IrBr8",
  "functional": "PBE",
  "state": "optimized geometry",
  "cell": [[3.793, -5.833, 0.000], [3.793, 5.833, 0.000], [0.000, 0.000, 8.160]],
  "species": ["Ag", "Ag", "Ag", "Ir", "Br", "Br", "Br", "Br", "Br", "Br", "Br", "Br"],
  "frac_coords": [[0.000, 0.000, 0.000], [0.000, 0.500, 0.755], [0.500, 0.000, 0.245], [0.000, 0.000, 0.500], [0.214, 0.786, 0.500], [0.224, 0.776, 0.000], [0.231, 0.237, 0.715], [0.237, 0.231, 0.285], [0.763, 0.769, 0.285], [0.769, 0.763, 0.715], [0.776, 0.224, 0.000], [0.786, 0.214, 0.500]],
  "final_energy_ev_per_cell": -33.9,
  "e_form_raw_ev_per_fu": -3.090
}

# 2
{
  "formula": "AgIr2Br",
  "functional": "PBE",
  "state": "optimized geometry",
  "cell": [[2.969, 0.000, 0.000], [0.000, 3.778, 0.000], [0.000, 0.000, 5.903]],
  "species": ["Ag", "Ir", "Ir", "Br"],
  "frac_coords": [[0.000, 0.000, 0.000], [0.500, 0.500, 0.247], [0.500, 0.500, 0.753], [0.000, 0.000, 0.500]],
  "final_energy_ev_per_cell": -18.1,
  "e_form_raw_ev_per_fu": 4.180,
  "polymorph_energy_ev_per_fu": 2.40
}

# 3
{
  "formula": "AgIr2Br",
  "functional": "PBE",
  "state": "optimized geometry",
  "cell": [[2.827, 0.000, 0.000], [0.000, 4.872, 0.000], [0.000, 0.000, 4.953]],
  "species": ["Ag", "Ir", "Ir", "Br"],
  "frac_coords": [[0.000, 0.000, 0.000], [0.000, 0.500, 0.500], [0.500, 0.500, 0.000], [0.500, 0.000, 0.500]],
  "final_energy_ev_per_cell": -18.6,
  "e_form_raw_ev_per_fu": 3.631,
  "polymorph_energy_ev_per_fu": 1.85
}

# 4
{
  "formula": "AgIr2Br",
  "functional": "PBE",
  "state": "optimized geometry",
  "cell": [[4.778, 0.000, 0.000], [0.000, 4.778, 0.000], [0.000, 0.000, 2.929]],
  "species": ["Ag", "Ir", "Ir", "Br"],
  "frac_coords": [[0.000, 0.000, 0.000], [0.000, 0.500, 0.500], [0.500, 0.000, 0.500], [0.500, 0.500, 0.000]],
  "final_energy_ev_per_cell": -17.7,
  "e_form_raw_ev_per_fu": 4.540,
  "polymorph_energy_ev_per_fu": 2.76
}

# 5
{
  "formula": "AgIr4Br",
  "functional": "PBE",
  "state": "optimized geometry",
  "cell": [[0.000, 3.758, 3.758], [3.758, 0.000, 3.758], [3.758, 3.758, 0.000]],
  "species": ["Ag", "Ir", "Ir", "Ir", "Ir", "Br"],
  "frac_coords": [[0.000, 0.000, 0.000], [0.375, 0.375, 0.375], [0.375, 0.375, 0.876], [0.375, 0.876, 0.375], [0.876, 0.375, 0.375], [0.750, 0.750, 0.750]],
  "final_energy_ev_per_cell": -33.8,
  "e_form_raw_ev_per_fu": 6.157
}

# 6
{
  "formula": "AgIr2Br",
  "functional": "PBE",
  "state": "optimized geometry",
  "cell": [[10.143, 0.000, 0.000], [0.000, 2.865, 0.000], [-1.624, 0.000, 4.630]],
  "species": ["Ag", "Ag", "Ir", "Ir", "Ir", "Ir", "Br", "Br"],
  "frac_coords": [[0.000, 0.000, 0.000], [0.500, 0.500, 0.000], [0.234, 0.000, 0.747], [0.266, 0.500, 0.253], [0.734, 0.500, 0.747], [0.766, 0.000, 0.253], [0.000, 0.500, 0.500], [0.500, 0.000, 0.500]],
  "final_energy_ev_per_cell": -37.7,
  "e_form_raw_ev_per_fu": 3.378,
  "polymorph_energy_ev_per_fu": 1.60
}

# 7
{
  "formula": "Ag3IrBr9",
  "functional": "PBE",
  "state": "optimized geometry",
  "cell": [[9.974, -4.017, 0.000], [9.974, 4.017, 0.000], [-6.087, 0.000, 9.765]],
  "species": ["Ag", "Ag", "Ag", "Ag", "Ag", "Ag", "Ir", "Ir", "Br", "Br", "Br", "Br", "Br", "Br", "Br", "Br", "Br", "Br", "Br", "Br", "Br", "Br", "Br", "Br", "Br", "Br"],
  "frac_coords": [[0.025, 0.975, 0.500], [0.230, 0.294, 0.744], [0.294, 0.230, 0.244], [0.535, 0.615, 0.942], [0.615, 0.535, 0.442], [0.975, 0.025, 0.000], [0.133, 0.628, 0.128], [0.628, 0.133, 0.628], [0.039, 0.943, 0.245], [0.078, 0.672, 0.909], [0.191, 0.581, 0.348], [0.225, 0.313, 0.007], [0.313, 0.225, 0.507], [0.324, 0.925, 0.106], [0.385, 0.848, 0.608], [0.459, 0.494, 0.181], [0.494, 0.459, 0.681], [0.581, 0.191, 0.848], [0.609, 0.794, 0.852], [0.672, 0.078, 0.409], [0.762, 0.814, 0.593], [0.794, 0.609, 0.352], [0.814, 0.762, 0.093], [0.848, 0.385, 0.108], [0.925, 0.324, 0.606], [0.943, 0.039, 0.745]],
  "final_energy_ev_per_cell": -70.5,
  "e_form_raw_ev_per_fu": -2.773
}

# 8
{
  "formula": "AgIr2Br",
  "functional": "PBE",
  "state": "optimized geometry",
  "cell": [[2.940, 0.000, 0.000], [-1.470, 2.546, 0.000], [0.000, 0.000, 26.434]],
  "species": ["Ag", "Ag", "Ag", "Ir", "Ir", "Ir", "Ir", "Ir", "Ir", "Br", "Br", "Br"],
  "frac_coords": [[0.000, 0.000, 0.000], [0.333, 0.667, 0.667], [0.667, 0.333, 0.333], [0.000, 0.000, 0.247], [0.000, 0.000, 0.753], [0.333, 0.667, 0.420], [0.333, 0.667, 0.914], [0.667, 0.333, 0.086], [0.667, 0.333, 0.580], [0.000, 0.000, 0.500], [0.333, 0.667, 0.167], [0.667, 0.333, 0.833]],
  "final_energy_ev_per_cell": -56.9,
  "e_form_raw_ev_per_fu": 3.281,
  "polymorph_energy_ev_per_fu": 1.50
}